# 1
A plane-wave DFT calculation with PBE was carried out for an optimized crystal structure of Ce12OsRu6.

```
Ce12OsRu6
1.0
6.072 3.506 3.977
-6.072 3.506 3.977
0.000 -7.011 3.977
Ce Os Ru
12 1 6
Direct
0.052 0.903 0.675
0.097 0.325 0.948
0.189 0.568 0.402
0.325 0.948 0.097
0.402 0.189 0.568
0.432 0.598 0.811
0.568 0.402 0.189
0.598 0.811 0.432
0.675 0.052 0.903
0.811 0.432 0.598
0.903 0.675 0.052
0.948 0.097 0.325
0.000 0.000 0.000
0.135 0.313 0.618
0.313 0.618 0.135
0.382 0.865 0.687
0.618 0.135 0.313
0.687 0.382 0.865
0.865 0.687 0.382
```

Values from the calculation:
Uncorrected energy: -141.2 eV/cell
Space-group type: R-3 (148)
Calculated formation energy: -0.1642 eV per atom



# 2
A plane-wave DFT calculation with PBE was carried out for an optimized crystal structure of Sc4Rh3.

```
Sc4Rh3
1.0
-1.767 1.767 10.640
1.767 -1.767 10.640
1.767 1.767 -10.640
Sc Rh
4 3
Direct
0.068 0.068 0.000
0.332 0.332 0.000
0.668 0.668 0.000
0.932 0.932 0.000
0.200 0.200 0.000
0.500 0.500 0.000
0.800 0.800 0.000
```

Values from the calculation:
Polymorph energy (0 for the lowest one): 226 meV per atom
Uncorrected energy: -51.8 eV/cell
Space-group type: I4/mmm (139)
Calculated formation energy: -0.6327 eV per atom



# 3
A plane-wave DFT calculation with PBE was carried out for an optimized crystal structure of Ca2TaAg.

```
Ca2TaAg
1.0
3.401 -4.699 0.000
3.401 4.699 0.000
0.000 0.000 3.089
Ca Ta Ag
2 1 1
Direct
0.000 0.500 0.000
0.500 0.000 0.000
0.000 0.000 0.500
0.500 0.500 0.500
```

Values from the calculation:
Polymorph energy (0 for the lowest one): 182 meV per atom
Uncorrected energy: -16.6 eV/cell
Space-group type: Cmmm (65)
Calculated formation energy: 0.5256 eV per atom



# 4
A plane-wave DFT calculation with PBE was carried out for an optimized crystal structure of AsNCl2.

```
AsNCl2
1.0
1.679 0.970 8.122
-1.679 0.970 8.122
0.000 -1.939 8.122
As N Cl
1 1 2
Direct
0.000 0.000 0.000
0.500 0.500 0.500
0.417 0.417 0.417
0.583 0.583 0.583
```

Values from the calculation:
Uncorrected energy: -11.5 eV/cell
Space-group type: R-3m (166)
Energy relative to the elements, uncorrected: 1.2872 eV per atom



# 5
A plane-wave DFT calculation with PBE was carried out for an optimized crystal structure of LaMg2Zn2Ga.

```
LaMg2Zn2Ga
1.0
-2.532 2.532 5.665
2.532 -2.532 5.665
2.532 2.532 -5.665
La Mg Zn Ga
1 2 2 1
Direct
0.000 0.000 0.000
0.250 0.750 0.500
0.750 0.250 0.500
0.291 0.291 0.000
0.709 0.709 0.000
0.500 0.500 0.000
```

Values from the calculation:
Uncorrected energy: -13.8 eV/cell
Space-group type: I4/mmm (139)
Calculated formation energy: -0.0235 eV per atom



# 6
A plane-wave DFT calculation with PBE was carried out for an optimized crystal structure of SrZr2Te.

```
SrZr2Te
1.0
1.807 1.043 10.191
-1.807 1.043 10.191
0.000 -2.087 10.191
Sr Zr Te
1 2 1
Direct
0.000 0.000 0.000
0.235 0.235 0.235
0.765 0.765 0.765
0.500 0.500 0.500
```

Values from the calculation:
Uncorrected energy: -21.7 eV/cell
Space-group type: R-3m (166)
Energy relative to the elements, uncorrected: 0.0433 eV per atom



# 7
A plane-wave DFT calculation with PBE was carried out for an optimized crystal structure of RbBO2.

```
RbBO2
1.0
1.389 0.802 6.605
-1.389 0.802 6.605
0.000 -1.604 6.605
Rb B O
1 1 2
Direct
0.000 0.000 0.000
0.500 0.500 0.500
0.124 0.124 0.124
0.876 0.876 0.876
```

Values from the calculation:
Uncorrected energy: -19.1 eV/cell
Space-group type: R-3m (166)
Energy relative to the elements, uncorrected: -0.3753 eV per atom



# 8
A plane-wave DFT calculation with PBE was carried out for an optimized crystal structure of LuBiPdAu.

```
LuBiPdAu
1.0
0.000 3.506 3.506
3.506 0.000 3.506
3.506 3.506 0.000
Lu Bi Pd Au
1 1 1 1
Direct
0.000 0.000 0.000
0.500 0.500 0.500
0.750 0.750 0.750
0.250 0.250 0.250
```

Values from the calculation:
Uncorrected energy: -19.2 eV/cell
Space-group type: F-43m (216)
Calculated formation energy: -0.5885 eV per atom